Density functional theory data (PBE) for Li4Mg9Au11 after structural relaxation.

Output
Raw total energy ... -2.97 eV/atom
Symmetry ... Cmmm, No. 65
Calculated volume ... 419.31 Å³ per cell
Energy of formation ... -0.548 eV/atom
Density of states at the Fermi level ... 6.2 states/eV per cell

abc: 3.0237 12.1497 12.1497
angles: 110.05 90.00 90.00
Atoms (fractional coordinates):
1 Au 0.0000 0.8259 0.1741
2 Au 0.0000 0.2494 0.2494
3 Au 0.0000 0.6289 0.3711
4 Au 0.0000 0.0000 0.0000
5 Au 0.0000 0.3711 0.6289
6 Au 0.0000 0.9442 0.5914
7 Au 0.0000 0.0558 0.4086
8 Au 0.0000 0.7506 0.7506
9 Au 0.0000 0.1741 0.8259
10 Au 0.0000 0.4086 0.0558
11 Au 0.0000 0.5914 0.9442
12 Li 0.5000 0.7497 0.5678
13 Li 0.5000 0.4322 0.2503
14 Li 0.5000 0.2503 0.4322
15 Li 0.5000 0.5678 0.7497
16 Mg 0.5000 0.3800 0.8436
17 Mg 0.5000 0.5000 0.5000
18 Mg 0.5000 0.7920 0.9614
19 Mg 0.5000 0.6200 0.1564
20 Mg 0.5000 0.8436 0.3800
21 Mg 0.5000 0.1564 0.6200
22 Mg 0.5000 0.2080 0.0386
23 Mg 0.5000 0.0386 0.2080
24 Mg 0.5000 0.9614 0.7920